{
  "formula": "LaZnNi2",
  "functional": "meta-GGA SCAN",
  "state": "single point on PBEsol structure",
  "cell": [[3.5240, -2.0358, 0.0000], [3.5240, 2.0358, 0.0000], [-2.3559, 0.0000, 4.9381]],
  "species": ["La", "Zn", "Ni", "Ni"],
  "frac_coords": [[0.0000, 0.0000, 0.0000], [0.8039, 0.8039, 0.4117], [0.2021, 0.2021, 0.6060], [0.5184, 0.5184, 0.5549]],
  "m_tot_mub_per_cell": 0.0,
  "ef_ev_per_fu": -1.09
}



{
  "formula": "LaZn2Ni",
  "functional": "meta-GGA SCAN",
  "state": "single point on PBEsol structure",
  "cell": [[3.4772, 0.0000, 0.0000], [0.0000, 3.8325, 0.0000], [-1.7051, 0.0000, 5.7201]],
  "species": ["La", "Zn", "Zn", "Ni"],
  "frac_coords": [[0.0000, 0.0000, 0.0000], [0.2758, 0.5000, 0.5605], [0.7306, 0.0000, 0.4712], [0.6085, 0.5000, 0.2212]],
  "m_tot_mub_per_cell": 0.0,
  "ef_ev_per_fu": -0.62
}



{
  "formula": "LaZnNi2",
  "functional": "meta-GGA SCAN",
  "state": "single point on PBEsol structure",
  "cell": [[5.1889, 0.0000, 0.0000], [-2.5945, 4.4937, 0.0000], [0.0000, 0.0000, 16.1531]],
  "species": ["La", "La", "La", "La", "La", "La", "Zn", "Zn", "Zn", "Zn", "Zn", "Zn", "Ni", "Ni", "Ni", "Ni", "Ni", "Ni", "Ni", "Ni", "Ni", "Ni", "Ni", "Ni"],
  "frac_coords": [[0.3333, 0.6667, 0.0466], [0.3333, 0.6667, 0.2500], [0.3333, 0.6667, 0.4534], [0.6667, 0.3333, 0.5466], [0.6667, 0.3333, 0.7500], [0.6667, 0.3333, 0.9534], [0.0000, 0.0000, 0.0000], [0.0000, 0.0000, 0.2500], [0.0000, 0.0000, 0.5000], [0.0000, 0.0000, 0.7500], [0.3333, 0.6667, 0.7500], [0.6667, 0.3333, 0.2500], [0.1671, 0.3342, 0.6274], [0.1671, 0.3342, 0.8726], [0.1671, 0.8329, 0.6274], [0.1671, 0.8329, 0.8726], [0.3342, 0.1671, 0.1274], [0.3342, 0.1671, 0.3726], [0.6658, 0.8329, 0.6274], [0.6658, 0.8329, 0.8726], [0.8329, 0.1671, 0.1274], [0.8329, 0.1671, 0.3726], [0.8329, 0.6658, 0.1274], [0.8329, 0.6658, 0.3726]],
  "m_tot_mub_per_cell": 0.0,
  "ef_ev_per_fu": -1.29
}



{
  "formula": "LaZnNi2",
  "functional": "meta-GGA SCAN",
  "state": "single point on PBEsol structure",
  "cell": [[3.3011, 0.0000, 0.0000], [0.0000, 3.7436, 0.0000], [0.0000, 0.0000, 5.3642]],
  "species": ["La", "Zn", "Ni", "Ni"],
  "frac_coords": [[0.0000, 0.0000, 0.0000], [0.5000, 0.5000, 0.6520], [0.0000, 0.0000, 0.4908], [0.5000, 0.5000, 0.2232]],
  "m_tot_mub_per_cell": 0.0,
  "ef_ev_per_fu": 0.24
}



{
  "formula": "La2ZnNi2",
  "functional": "meta-GGA SCAN",
  "state": "single point on PBEsol structure",
  "cell": [[-2.6941, 2.6941, 3.6481], [2.6941, -2.6941, 3.6481], [2.6941, 2.6941, -3.6481]],
  "species": ["La", "La", "Zn", "Ni", "Ni"],
  "frac_coords": [[0.2500, 0.7500, 0.5000], [0.7500, 0.2500, 0.5000], [0.0000, 0.0000, 0.0000], [0.3408, 0.3408, 0.0000], [0.6592, 0.6592, 0.0000]],
  "m_tot_mub_per_cell": 0.0,
  "ef_ev_per_fu": -1.22
}



{
  "formula": "La3ZnNi",
  "functional": "meta-GGA SCAN",
  "state": "single point on PBEsol structure",
  "cell": [[5.5164, 0.0000, 0.0000], [0.0000, 5.5164, 0.0000], [0.0000, 0.0000, 5.5164]],
  "species": ["La", "La", "La", "Zn", "Ni"],
  "frac_coords": [[0.0000, 0.0000, 0.5000], [0.0000, 0.5000, 0.0000], [0.5000, 0.0000, 0.0000], [0.0000, 0.0000, 0.0000], [0.5000, 0.5000, 0.5000]],
  "m_tot_mub_per_cell": 0.0,
  "ef_ev_per_fu": 3.12
}



{
  "formula": "LaZn2Ni",
  "functional": "meta-GGA SCAN",
  "state": "single point on PBEsol structure",
  "cell": [[3.5804, -2.0630, 0.0000], [3.5804, 2.0630, 0.0000], [-2.3826, 0.0000, 5.1477]],
  "species": ["La", "Zn", "Zn", "Ni"],
  "frac_coords": [[0.0000, 0.0000, 0.0000], [0.2016, 0.2016, 0.6051], [0.7984, 0.7984, 0.3949], [0.5000, 0.5000, 0.5000]],
  "m_tot_mub_per_cell": 0.0,
  "ef_ev_per_fu": -1.24
}



{
  "formula": "LaZn2Ni",
  "functional": "meta-GGA SCAN",
  "state": "single point on PBEsol structure",
  "cell": [[3.1496, 0.0000, 0.0000], [0.0000, 3.1496, 0.0000], [0.0000, 0.0000, 6.9772]],
  "species": ["La", "Zn", "Zn", "Ni"],
  "frac_coords": [[0.0000, 0.0000, 0.0000], [0.0000, 0.0000, 0.4477], [0.5000, 0.5000, 0.6565], [0.5000, 0.5000, 0.2842]],
  "m_tot_mub_per_cell": 0.0,
  "ef_ev_per_fu": -0.51
}



{
  "formula": "La4Os6O19",
  "functional": "meta-GGA SCAN",
  "state": "single point on PBEsol structure",
  "cell": [[-4.5197, 4.5197, 4.5197], [4.5197, -4.5197, 4.5197], [4.5197, 4.5197, -4.5197]],
  "species": ["La", "La", "La", "La", "Os", "Os", "Os", "Os", "Os", "Os", "O", "O", "O", "O", "O", "O", "O", "O", "O", "O", "O", "O", "O", "O", "O", "O", "O", "O", "O"],
  "frac_coords": [[0.0000, 0.0000, 0.3155], [0.0000, 0.3155, 0.0000], [0.3155, 0.0000, 0.0000], [0.6845, 0.6845, 0.6845], [0.1372, 0.6372, 0.5000], [0.3628, 0.5000, 0.8628], [0.5000, 0.1372, 0.6372], [0.5000, 0.8628, 0.3628], [0.6372, 0.5000, 0.1372], [0.8628, 0.3628, 0.5000], [0.0000, 0.0000, 0.0000], [0.0000, 0.3233, 0.3233], [0.0000, 0.6767, 0.6767], [0.0592, 0.3288, 0.7026], [0.2696, 0.9408, 0.6434], [0.2974, 0.6262, 0.3566], [0.3233, 0.0000, 0.3233], [0.3233, 0.3233, 0.0000], [0.3288, 0.7026, 0.0592], [0.3566, 0.2974, 0.6262], [0.3738, 0.6712, 0.7304], [0.6262, 0.3566, 0.2974], [0.6434, 0.2696, 0.9408], [0.6712, 0.7304, 0.3738], [0.6767, 0.0000, 0.6767], [0.6767, 0.6767, 0.0000], [0.7026, 0.0592, 0.3288], [0.7304, 0.3738, 0.6712], [0.9408, 0.6434, 0.2696]],
  "m_tot_mub_per_cell": 0.0,
  "raw_formation_energy_mev_per_atom": -2041
}



{
  "formula": "LaP2OsO",
  "functional": "meta-GGA SCAN",
  "state": "single point on PBEsol structure",
  "cell": [[5.2963, 0.0000, 0.0000], [0.0000, 5.2963, 0.0000], [0.0000, 0.0000, 3.9683]],
  "species": ["La", "P", "P", "Os", "O"],
  "frac_coords": [[0.0000, 0.0000, 0.0000], [0.0000, 0.5000, 0.0000], [0.5000, 0.0000, 0.0000], [0.5000, 0.5000, 0.5000], [0.0000, 0.0000, 0.5000]],
  "m_tot_mub_per_cell": 1.7,
  "raw_formation_energy_mev_per_atom": 1104
}



{
  "formula": "LaPO2",
  "functional": "meta-GGA SCAN",
  "state": "single point on PBEsol structure",
  "cell": [[1.7157, 0.9905, 6.3133], [-1.7157, 0.9905, 6.3133], [0.0000, -1.9811, 6.3133]],
  "species": ["La", "P", "O", "O"],
  "frac_coords": [[0.0000, 0.0000, 0.0000], [0.5000, 0.5000, 0.5000], [0.1195, 0.1195, 0.1195], [0.8805, 0.8805, 0.8805]],
  "m_tot_mub_per_cell": 0.0,
  "raw_formation_energy_mev_per_atom": -844
}



{
  "formula": "LaP3O9",
  "functional": "meta-GGA SCAN",
  "state": "single point on PBEsol structure",
  "cell": [[4.3171, -5.6513, 0.0000], [4.3171, 5.6513, 0.0000], [0.0000, 0.0000, 7.4069]],
  "species": ["La", "La", "P", "P", "P", "P", "P", "P", "O", "O", "O", "O", "O", "O", "O", "O", "O", "O", "O", "O", "O", "O", "O", "O", "O", "O"],
  "frac_coords": [[0.1253, 0.1253, 0.0000], [0.8747, 0.8747, 0.5000], [0.2515, 0.2515, 0.5000], [0.3168, 0.6657, 0.9522], [0.3343, 0.6832, 0.5478], [0.6657, 0.3168, 0.0478], [0.6832, 0.3343, 0.4522], [0.7485, 0.7485, 0.0000], [0.1350, 0.1735, 0.6672], [0.1735, 0.1350, 0.3328], [0.1744, 0.7823, 0.5410], [0.2177, 0.8256, 0.9590], [0.2204, 0.4739, 0.0360], [0.2524, 0.4702, 0.4585], [0.3759, 0.6241, 0.7500], [0.4702, 0.2524, 0.5415], [0.4739, 0.2204, 0.9640], [0.5261, 0.7796, 0.4640], [0.5298, 0.7476, 0.0415], [0.6241, 0.3759, 0.2500], [0.7476, 0.5298, 0.9585], [0.7796, 0.5261, 0.5360], [0.7823, 0.1744, 0.4590], [0.8256, 0.2177, 0.0410], [0.8265, 0.8650, 0.8328], [0.8650, 0.8265, 0.1672]],
  "m_tot_mub_per_cell": 0.0,
  "raw_formation_energy_mev_per_atom": -2805
}



{
  "formula": "La3PO",
  "functional": "meta-GGA SCAN",
  "state": "single point on PBEsol structure",
  "cell": [[5.4330, 0.0000, 0.0000], [0.0000, 5.4330, 0.0000], [0.0000, 0.0000, 5.4330]],
  "species": ["La", "La", "La", "P", "O"],
  "frac_coords": [[0.0000, 0.0000, 0.5000], [0.0000, 0.5000, 0.0000], [0.5000, 0.0000, 0.0000], [0.0000, 0.0000, 0.0000], [0.5000, 0.5000, 0.5000]],
  "m_tot_mub_per_cell": 0.0,
  "raw_formation_energy_mev_per_atom": -311
}



{
  "formula": "LaPRuO2",
  "functional": "meta-GGA SCAN",
  "state": "single point on PBEsol structure",
  "cell": [[4.0518, 0.0000, 0.0000], [0.0000, 4.0518, 0.0000], [0.0000, 0.0000, 6.3739]],
  "species": ["La", "P", "Ru", "O", "O"],
  "frac_coords": [[0.0000, 0.0000, 0.0000], [0.0000, 0.0000, 0.5000], [0.5000, 0.5000, 0.5000], [0.0000, 0.5000, 0.0000], [0.5000, 0.0000, 0.0000]],
  "m_tot_mub_per_cell": 3.2,
  "raw_formation_energy_mev_per_atom": -302
}



{
  "formula": "LaScP2O",
  "functional": "meta-GGA SCAN",
  "state": "single point on PBEsol structure",
  "cell": [[5.3064, 0.0000, 0.0000], [0.0000, 5.3064, 0.0000], [0.0000, 0.0000, 4.1302]],
  "species": ["La", "Sc", "P", "P", "O"],
  "frac_coords": [[0.0000, 0.0000, 0.0000], [0.5000, 0.5000, 0.5000], [0.0000, 0.5000, 0.0000], [0.5000, 0.0000, 0.0000], [0.0000, 0.0000, 0.5000]],
  "m_tot_mub_per_cell": 0.0,
  "raw_formation_energy_mev_per_atom": -485
}



{
  "formula": "SrLaPO2",
  "functional": "meta-GGA SCAN",
  "state": "single point on PBEsol structure",
  "cell": [[4.4486, 0.0000, 0.0000], [0.0000, 4.4486, 0.0000], [0.0000, 0.0000, 5.6771]],
  "species": ["Sr", "La", "P", "O", "O"],
  "frac_coords": [[0.0000, 0.0000, 0.0000], [0.5000, 0.5000, 0.5000], [0.5000, 0.5000, 0.0000], [0.0000, 0.5000, 0.5000], [0.5000, 0.0000, 0.5000]],
  "m_tot_mub_per_cell": 1.4,
  "raw_formation_energy_mev_per_atom": -1713
}



{
  "formula": "La3TbP4O16",
  "functional": "meta-GGA SCAN",
  "state": "single point on PBEsol structure",
  "cell": [[6.4325, 0.0000, 0.0000], [1.5833, 6.5665, 0.0000], [0.0876, -0.0091, 6.9832]],
  "species": ["La", "La", "La", "Tb", "P", "P", "P", "P", "O", "O", "O", "O", "O", "O", "O", "O", "O", "O", "O", "O", "O", "O", "O", "O"],
  "frac_coords": [[0.0000, 0.0000, 0.0000], [0.2070, 0.4403, 0.6817], [0.7074, 0.9462, 0.5028], [0.5191, 0.5124, 0.1918], [0.2213, 0.9166, 0.5010], [0.4856, 0.0265, 0.0092], [0.7144, 0.4213, 0.6844], [0.9956, 0.5261, 0.1762], [0.0499, 0.9741, 0.3452], [0.0998, 0.6040, 0.9986], [0.1056, 0.8385, 0.6722], [0.1763, 0.4742, 0.3247], [0.2856, 0.1863, 0.9443], [0.3194, 0.0959, 0.5525], [0.3984, 0.8400, 0.0658], [0.4166, 0.7453, 0.4426], [0.5483, 0.4689, 0.8504], [0.5935, 0.1187, 0.1750], [0.5952, 0.3533, 0.5111], [0.6584, 0.9716, 0.8499], [0.7994, 0.6980, 0.2386], [0.8151, 0.6002, 0.6347], [0.8864, 0.3501, 0.1359], [0.9080, 0.2439, 0.7299]],
  "m_tot_mub_per_cell": 0.0,
  "raw_formation_energy_mev_per_atom": -3355
}



{
  "formula": "La5Pb3O",
  "functional": "meta-GGA SCAN",
  "state": "single point on PBEsol structure",
  "cell": [[-4.3358, 4.3358, 7.1802], [4.3358, -4.3358, 7.1802], [4.3358, 4.3358, -7.1802]],
  "species": ["La", "La", "La", "La", "La", "La", "La", "La", "La", "La", "Pb", "Pb", "Pb", "Pb", "Pb", "Pb", "O", "O"],
  "frac_coords": [[0.0000, 0.0000, 0.0000], [0.0015, 0.5015, 0.8070], [0.1945, 0.0015, 0.5000], [0.3055, 0.8055, 0.8070], [0.4985, 0.3055, 0.5000], [0.5000, 0.5000, 0.0000], [0.5015, 0.6945, 0.5000], [0.6945, 0.1945, 0.1930], [0.8055, 0.9985, 0.5000], [0.9985, 0.4985, 0.1930], [0.1421, 0.3579, 0.5000], [0.2500, 0.2500, 0.0000], [0.3579, 0.8579, 0.2157], [0.6421, 0.1421, 0.7843], [0.7500, 0.7500, 0.0000], [0.8579, 0.6421, 0.5000], [0.2500, 0.7500, 0.5000], [0.7500, 0.2500, 0.5000]],
  "m_tot_mub_per_cell": 1.8,
  "raw_formation_energy_mev_per_atom": -1446
}



{
  "formula": "La2PbO2",
  "functional": "meta-GGA SCAN",
  "state": "single point on PBEsol structure",
  "cell": [[-1.9930, 1.9930, 7.3722], [1.9930, -1.9930, 7.3722], [1.9930, 1.9930, -7.3722]],
  "species": ["La", "La", "Pb", "O", "O"],
  "frac_coords": [[0.1669, 0.1669, 0.0000], [0.8331, 0.8331, 0.0000], [0.5000, 0.5000, 0.0000], [0.2500, 0.7500, 0.5000], [0.7500, 0.2500, 0.5000]],
  "m_tot_mub_per_cell": 0.0,
  "raw_formation_energy_mev_per_atom": -2821
}



{
  "formula": "La2Pd2O5",
  "functional": "meta-GGA SCAN",
  "state": "single point on PBEsol structure",
  "cell": [[6.6473, 0.0000, 0.0000], [0.0000, 6.6473, 0.0000], [0.0000, 0.0000, 5.5729]],
  "species": ["La", "La", "La", "La", "Pd", "Pd", "Pd", "Pd", "O", "O", "O", "O", "O", "O", "O", "O", "O", "O"],
  "frac_coords": [[0.1076, 0.2635, 0.0000], [0.2635, 0.8924, 0.5000], [0.7365, 0.1076, 0.5000], [0.8924, 0.7365, 0.0000], [0.3106, 0.4048, 0.5000], [0.4048, 0.6894, 0.0000], [0.5952, 0.3106, 0.0000], [0.6894, 0.5952, 0.5000], [0.0000, 0.0000, 0.2500], [0.0000, 0.0000, 0.7500], [0.2002, 0.5937, 0.2425], [0.2002, 0.5937, 0.7575], [0.4063, 0.2002, 0.2575], [0.4063, 0.2002, 0.7425], [0.5937, 0.7998, 0.2575], [0.5937, 0.7998, 0.7425], [0.7998, 0.4063, 0.2425], [0.7998, 0.4063, 0.7575]],
  "m_tot_mub_per_cell": 0.0,
  "raw_formation_energy_mev_per_atom": -2459
}



{
  "formula": "LaPdPtO2",
  "functional": "meta-GGA SCAN",
  "state": "single point on PBEsol structure",
  "cell": [[3.9186, 0.0000, 0.0000], [0.0000, 3.9186, 0.0000], [0.0000, 0.0000, 5.8764]],
  "species": ["La", "Pd", "Pt", "O", "O"],
  "frac_coords": [[0.0000, 0.0000, 0.0000], [0.0000, 0.0000, 0.5000], [0.5000, 0.5000, 0.0000], [0.0000, 0.5000, 0.5000], [0.5000, 0.0000, 0.5000]],
  "m_tot_mub_per_cell": 1.3,
  "raw_formation_energy_mev_per_atom": -408
}